1.
Here is a relaxed CaY2BiO crystal from Alexandria via LeMat-Bulk. Energies are from GGA-PBE.

As for the symmetry: P4/mmm, No. 123. For the uncorrected formation energy, the calculation gives -1.342 eV per atom. As for the total magnetization: 0.00 μB/f.u.

```
data_CaY2BiO
_cell_length_a 4.790
_cell_length_b 4.790
_cell_length_c 5.009
_cell_angle_alpha 90.00
_cell_angle_beta 90.00
_cell_angle_gamma 90.00
_symmetry_space_group_name_H-M 'P 1'
_symmetry_Int_Tables_number 1
loop_
_symmetry_equiv_pos_as_xyz
'x,y,z'
loop_
_atom_site_label
_atom_site_type_symbol
_atom_site_fract_x
_atom_site_fract_y
_atom_site_fract_z
_atom_site_occupancy
O1 O 0.000 0.000 0.000 1
Ca1 Ca 0.000 0.000 0.500 1
Y1 Y 0.500 0.000 0.000 1
Bi1 Bi 0.500 0.500 0.500 1
Y2 Y 0.000 0.500 0.000 1
```

2.
Here is a relaxed Ca2YBiO6 crystal from Alexandria via LeMat-Bulk. Energies are from GGA-PBE.

As for the symmetry: P4/mnc, No. 128. For the uncorrected formation energy, the calculation gives -2.321 eV per atom. As for the total magnetization: 0.00 μB/f.u.

```
data_Ca2YBiO6
_cell_length_a 5.879
_cell_length_b 5.879
_cell_length_c 8.529
_cell_angle_alpha 90.00
_cell_angle_beta 90.00
_cell_angle_gamma 90.00
_symmetry_space_group_name_H-M 'P 1'
_symmetry_Int_Tables_number 1
loop_
_symmetry_equiv_pos_as_xyz
'x,y,z'
loop_
_atom_site_label
_atom_site_type_symbol
_atom_site_fract_x
_atom_site_fract_y
_atom_site_fract_z
_atom_site_occupancy
Ca1 Ca 0.000 0.500 0.750 1
Ca2 Ca 0.500 0.000 0.750 1
O1 O 0.175 0.342 0.500 1
O2 O 0.658 0.175 0.500 1
O3 O 0.675 0.158 0.000 1
O4 O 0.325 0.842 0.000 1
O5 O 0.342 0.825 0.500 1
O6 O 0.500 0.500 0.745 1
O7 O 0.000 0.000 0.755 1
Ca3 Ca 0.000 0.500 0.250 1
O8 O 0.158 0.325 0.000 1
O9 O 0.000 0.000 0.245 1
Bi1 Bi 0.500 0.500 0.500 1
Y1 Y 0.000 0.000 0.500 1
O10 O 0.500 0.500 0.255 1
O11 O 0.842 0.675 0.000 1
O12 O 0.825 0.658 0.500 1
Bi2 Bi 0.000 0.000 0.000 1
Y2 Y 0.500 0.500 0.000 1
Ca4 Ca 0.500 0.000 0.250 1
```

3.
Here is a relaxed CaY4Bi4O12 crystal from Alexandria via LeMat-Bulk. Energies are from GGA-PBE.

As for the symmetry: Pm, No. 6. For the uncorrected formation energy, the calculation gives -2.179 eV per atom. As for the total magnetization: 0.00 μB/f.u.

```
data_CaY4Bi4O12
_cell_length_a 7.836
_cell_length_b 6.388
_cell_length_c 6.766
_cell_angle_alpha 98.21
_cell_angle_beta 90.00
_cell_angle_gamma 90.00
_symmetry_space_group_name_H-M 'P 1'
_symmetry_Int_Tables_number 1
loop_
_symmetry_equiv_pos_as_xyz
'x,y,z'
loop_
_atom_site_label
_atom_site_type_symbol
_atom_site_fract_x
_atom_site_fract_y
_atom_site_fract_z
_atom_site_occupancy
O1 O 0.500 0.732 0.297 1
O2 O 0.701 0.110 0.811 1
Ca1 Ca 0.000 0.633 0.203 1
O3 O 0.679 0.632 0.757 1
O4 O 0.000 0.369 0.894 1
Y1 Y 0.000 0.021 0.882 1
O5 O 0.000 0.843 0.556 1
O6 O 0.804 0.367 0.411 1
O7 O 0.299 0.110 0.811 1
Y2 Y 0.500 0.501 0.499 1
Y3 Y 0.000 0.509 0.623 1
Bi1 Bi 0.314 0.422 0.994 1
Bi2 Bi 0.686 0.422 0.994 1
O8 O 0.822 0.890 0.113 1
Bi3 Bi 0.730 0.024 0.406 1
O9 O 0.196 0.367 0.411 1
Bi4 Bi 0.270 0.024 0.406 1
O10 O 0.500 0.170 0.261 1
O11 O 0.321 0.632 0.757 1
Y4 Y 0.500 0.904 0.942 1
O12 O 0.178 0.890 0.113 1
```

4.
Here is a relaxed CaZnBiO4 crystal from Alexandria via LeMat-Bulk. Energies are from GGA-PBE.

As for the symmetry: Cmcm, No. 63. For the uncorrected formation energy, the calculation gives -1.616 eV per atom. As for the total magnetization: 0.31 μB/f.u.

```
data_CaZnBiO4
_cell_length_a 5.856
_cell_length_b 5.856
_cell_length_c 6.989
_cell_angle_alpha 90.00
_cell_angle_beta 90.00
_cell_angle_gamma 116.02
_symmetry_space_group_name_H-M 'P 1'
_symmetry_Int_Tables_number 1
loop_
_symmetry_equiv_pos_as_xyz
'x,y,z'
loop_
_atom_site_label
_atom_site_type_symbol
_atom_site_fract_x
_atom_site_fract_y
_atom_site_fract_z
_atom_site_occupancy
Ca1 Ca 0.500 0.500 0.000 1
O1 O 0.737 0.263 0.524 1
Bi1 Bi 0.841 0.159 0.250 1
Zn1 Zn 0.850 0.150 0.750 1
O2 O 0.769 0.764 0.250 1
O3 O 0.236 0.231 0.250 1
O4 O 0.231 0.236 0.750 1
O5 O 0.764 0.769 0.750 1
Zn2 Zn 0.150 0.850 0.250 1
Ca2 Ca 0.500 0.500 0.500 1
Bi2 Bi 0.159 0.841 0.750 1
O6 O 0.263 0.737 0.476 1
O7 O 0.263 0.737 0.024 1
O8 O 0.737 0.263 0.976 1
```

5.
Here is a relaxed Ca2ZrBiO6 crystal from Alexandria via LeMat-Bulk. Energies are from GGA-PBE.

As for the symmetry: R3, No. 146. For the uncorrected formation energy, the calculation gives -2.511 eV per atom. As for the total magnetization: 0.00 μB/f.u.

```
data_Ca2ZrBiO6
_cell_length_a 5.803
_cell_length_b 5.803
_cell_length_c 6.022
_cell_angle_alpha 61.20
_cell_angle_beta 61.20
_cell_angle_gamma 60.00
_symmetry_space_group_name_H-M 'P 1'
_symmetry_Int_Tables_number 1
loop_
_symmetry_equiv_pos_as_xyz
'x,y,z'
loop_
_atom_site_label
_atom_site_type_symbol
_atom_site_fract_x
_atom_site_fract_y
_atom_site_fract_z
_atom_site_occupancy
O1 O 0.941 0.613 0.269 1
O2 O 0.089 0.464 0.756 1
Ca1 Ca 0.530 0.530 0.409 1
O3 O 0.177 0.941 0.269 1
Zr1 Zr 0.813 0.813 0.560 1
Ca2 Ca 0.032 0.032 0.904 1
O4 O 0.464 0.691 0.756 1
Bi1 Bi 0.312 0.312 0.064 1
O5 O 0.691 0.089 0.756 1
O6 O 0.613 0.177 0.269 1
```

6.
Here is a relaxed Ca2BiOs crystal from Alexandria via LeMat-Bulk. Energies are from GGA-PBE.

Its formation energy is 0.86 eV/f.u. As for the symmetry: I-42d, No. 122. As for the total magnetization: 0.00 μB/f.u.

```
data_Ca2BiOs
_cell_length_a 10.497
_cell_length_b 10.497
_cell_length_c 7.866
_cell_angle_alpha 48.14
_cell_angle_beta 48.14
_cell_angle_gamma 90.00
_symmetry_space_group_name_H-M 'P 1'
_symmetry_Int_Tables_number 1
loop_
_symmetry_equiv_pos_as_xyz
'x,y,z'
loop_
_atom_site_label
_atom_site_type_symbol
_atom_site_fract_x
_atom_site_fract_y
_atom_site_fract_z
_atom_site_occupancy
Bi1 Bi 0.750 0.250 0.500 1
Bi2 Bi 0.000 0.000 0.000 1
Os1 Os 0.500 0.500 0.000 1
Ca1 Ca 0.459 0.125 0.250 1
Ca2 Ca 0.291 0.625 0.250 1
Os2 Os 0.250 0.750 0.500 1
Ca3 Ca 0.375 0.541 0.750 1
Ca4 Ca 0.875 0.709 0.750 1
```